This record from OQMD via LeMat-Bulk describes an optimized crystal structure of Gd3N2. The functional is PBE.

Cell lengths 3.529, 3.529, 8.854 Å; angles 90.00, 90.00, 120.00 degrees
Element x y z (fractional)
1 Gd 0.333 0.667 0.690
2 Gd 0.000 0.000 0.000
3 Gd 0.667 0.333 0.310
4 N 0.667 0.333 0.831
5 N 0.333 0.667 0.169

Calculated values
DFT total energy   -7.408 eV/atom
Space-group type   P-3m1 (164)
Spin magnetization   0.1 μB per formula unit